Compound: PtPb2W
Source: the Alexandria database
Functional: PBE
Structure: relaxed

Unit cell a=4.789 b=4.789 c=3.532 alpha=90.00 beta=90.00 gamma=90.00
Fractional positions:
Pb (0.000, 0.000, 0.000)
Pb (0.500, 0.500, 0.000)
Pt (0.500, 0.000, 0.500)
W (0.000, 0.500, 0.500)

Values from the calculation:
Symmetry: P4/mmm
Density (Mg/m³): 16.3
Excess energy over the best structure of this formula in the dataset (eV per atom): 0.435

***

Compound: PtPb2W
Source: the Alexandria database
Functional: PBE
Structure: relaxed

Unit cell a=4.971 b=4.971 c=4.971 alpha=60.00 beta=60.00 gamma=60.00
Each line ends with the local moment (μB).
Fractional positions:
Pb (0.000, 0.000, 0.000)  -0.01
Pb (0.750, 0.750, 0.750)  0.00
Pt (0.500, 0.500, 0.500)  0.14
W (0.250, 0.250, 0.250)  1.42

Values from the calculation:
Symmetry: F-43m
Density (Mg/m³): 15.2
Excess energy over the best structure of this formula in the dataset (eV per atom): 0.677

***

Compound: YPtPbW2
Source: the Alexandria database
Functional: PBE
Structure: relaxed

Unit cell a=4.884 b=5.365 c=4.884 alpha=90.00 beta=90.00 gamma=90.00
Fractional positions:
Pb (0.000, 0.500, 0.000)
Y (0.500, 0.500, 0.500)
W (0.000, 0.000, 0.500)
W (0.500, 0.000, 0.000)
Pt (0.000, 0.000, 0.000)

Values from the calculation:
Symmetry: P4/mmm
Density (Mg/m³): 11.1
Total energy (eV per atom): -7.0769

***

Compound: YPtPb2
Source: the Alexandria database
Functional: PBE
Structure: relaxed

Unit cell a=5.153 b=5.153 c=5.153 alpha=60.00 beta=60.00 gamma=60.00
Fractional positions:
Pb (0.250, 0.250, 0.250)
Pb (0.750, 0.750, 0.750)
Y (0.000, 0.000, 0.000)
Pt (0.500, 0.500, 0.500)

Values from the calculation:
Symmetry: Fm-3m
Density (Mg/m³): 12.0
Excess energy over the best structure of this formula in the dataset (eV per atom): 0.272

***

Compound: YPtPb2
Source: the Alexandria database
Functional: PBE
Structure: relaxed

Unit cell a=3.794 b=3.794 c=7.172 alpha=90.00 beta=90.00 gamma=102.63
Fractional positions:
Pb (0.000, 0.000, 0.034)
Pb (0.000, 0.000, 0.466)
Pt (0.500, 0.500, 0.250)
Y (0.500, 0.500, 0.750)

Values from the calculation:
Symmetry: Cmmm
Density (Mg/m³): 11.5
Excess energy over the best structure of this formula in the dataset (eV per atom): 0.286

***

Compound: YPt4Pb
Source: the Alexandria database
Functional: PBE
Structure: relaxed

Unit cell a=5.454 b=5.454 c=5.454 alpha=60.00 beta=60.00 gamma=60.00
Fractional positions:
Pb (0.000, 0.000, 0.000)
Pt (0.125, 0.625, 0.625)
Pt (0.625, 0.625, 0.625)
Pt (0.625, 0.125, 0.625)
Pt (0.625, 0.625, 0.125)
Y (0.250, 0.250, 0.250)

Values from the calculation:
Symmetry: F-43m
Density (Mg/m³): 15.6
Total energy (eV per atom): -6.4193

***

Compound: YPt2Pb2
Source: the Alexandria database
Functional: PBE
Structure: relaxed

Unit cell a=8.236 b=8.236 c=3.364 alpha=90.00 beta=90.00 gamma=90.00
Each line ends with the local moment (μB).
Fractional positions:
Pb (0.363, 0.863, 0.000)  0.00
Pb (0.863, 0.637, 0.000)  0.00
Pb (0.637, 0.137, 0.000)  0.00
Pb (0.137, 0.363, 0.000)  0.00
Y (0.000, 0.000, 0.000)  0.23
Y (0.500, 0.500, 0.000)  0.23
Pt (0.162, 0.662, 0.500)  0.01
Pt (0.662, 0.838, 0.500)  0.02
Pt (0.838, 0.338, 0.500)  0.01
Pt (0.338, 0.162, 0.500)  0.02

Values from the calculation:
Symmetry: P4/mbm
Density (Mg/m³): 13.0
Excess energy over the best structure of this formula in the dataset (eV per atom): 0.232

***

Compound: YPtPb2
Source: the Alexandria database
Functional: PBE
Structure: relaxed

Unit cell a=5.992 b=5.992 c=5.072 alpha=66.61 beta=66.61 gamma=37.85
Fractional positions:
Pb (0.000, 0.000, 0.999)
Pb (0.215, 0.215, 0.264)
Pt (0.496, 0.496, 0.546)
Y (0.789, 0.789, 0.691)

Values from the calculation:
Symmetry: Cm
Density (Mg/m³): 11.4
Excess energy over the best structure of this formula in the dataset (eV per atom): 0.093

***

Compound: YPt2Pb2
Source: the Alexandria database
Functional: PBE
Structure: relaxed

Unit cell a=7.347 b=7.347 c=4.376 alpha=90.00 beta=90.00 gamma=90.00
Fractional positions:
Pb (0.175, 0.675, 0.500)
Pb (0.675, 0.825, 0.500)
Pb (0.825, 0.325, 0.500)
Pb (0.325, 0.175, 0.500)
Y (0.000, 0.000, 0.000)
Y (0.500, 0.500, 0.000)
Pt (0.368, 0.868, 0.000)
Pt (0.868, 0.632, 0.000)
Pt (0.632, 0.132, 0.000)
Pt (0.132, 0.368, 0.000)

Values from the calculation:
Symmetry: P4/mbm
Density (Mg/m³): 12.6
Excess energy over the best structure of this formula in the dataset (eV per atom): 0.000

***

Compound: YPtPb2
Source: the Alexandria database
Functional: PBE
Structure: relaxed

Unit cell a=8.940 b=8.940 c=8.940 alpha=25.14 beta=25.14 gamma=25.14
Fractional positions:
Pb (0.000, 0.000, 0.000)
Pb (0.236, 0.236, 0.236)
Pt (0.497, 0.497, 0.497)
Y (0.767, 0.767, 0.767)

Values from the calculation:
Symmetry: R3m
Density (Mg/m³): 10.2
Excess energy over the best structure of this formula in the dataset (eV per atom): 0.139

***

Compound: YPt2Pb2
Source: the Alexandria database
Functional: PBE
Structure: relaxed

Unit cell a=4.311 b=4.311 c=7.181 alpha=72.53 beta=72.53 gamma=90.00
Fractional positions:
Pb (0.750, 0.250, 0.500)
Pb (0.250, 0.750, 0.500)
Y (0.000, 0.000, 0.000)
Pt (0.402, 0.402, 0.197)
Pt (0.598, 0.598, 0.803)

Values from the calculation:
Symmetry: I4/mmm
Density (Mg/m³): 12.3
Excess energy over the best structure of this formula in the dataset (eV per atom): 0.072

***

Compound: YPtPb2
Source: the Alexandria database
Functional: PBE
Structure: relaxed

Unit cell a=3.933 b=3.934 c=7.268 alpha=74.26 beta=90.00 gamma=90.00
Fractional positions:
Pb (0.000, 0.067, 0.991)
Pb (0.500, 0.437, 0.254)
Pt (0.000, 0.280, 0.562)
Y (0.500, 0.716, 0.693)

Values from the calculation:
Symmetry: Pm
Density (Mg/m³): 10.7
Excess energy over the best structure of this formula in the dataset (eV per atom): 0.033

***

Compound: Y12Pt6Pb
Source: the Alexandria database
Functional: PBE
Structure: relaxed

Unit cell a=8.687 b=8.687 c=8.687 alpha=109.47 beta=109.47 gamma=109.47
Fractional positions:
Y (0.300, 0.119, 0.818)
Y (0.300, 0.482, 0.182)
Y (0.700, 0.518, 0.818)
Y (0.700, 0.881, 0.182)
Y (0.119, 0.818, 0.300)
Y (0.482, 0.182, 0.300)
Y (0.518, 0.818, 0.700)
Y (0.881, 0.182, 0.700)
Y (0.818, 0.300, 0.119)
Y (0.182, 0.300, 0.482)
Y (0.818, 0.700, 0.518)
Y (0.182, 0.700, 0.881)
Pt (0.362, 0.500, 0.862)
Pt (0.638, 0.500, 0.138)
Pt (0.500, 0.862, 0.362)
Pt (0.500, 0.138, 0.638)
Pt (0.862, 0.362, 0.500)
Pt (0.138, 0.638, 0.500)
Pb (0.000, 0.000, 0.000)

Values from the calculation:
Symmetry: Im-3
Density (Mg/m³): 8.0
Total energy (eV per atom): -7.0527

***

Compound: YPtPb2
Source: the Alexandria database
Functional: PBE
Structure: relaxed

Unit cell a=4.652 b=4.750 c=4.887 alpha=78.17 beta=90.00 gamma=90.00
Fractional positions:
Pb (0.000, 0.042, 0.039)
Pb (0.000, 0.458, 0.461)
Pt (0.500, 0.250, 0.250)
Y (0.500, 0.750, 0.750)

Values from the calculation:
Symmetry: P2/m
Density (Mg/m³): 11.0
Excess energy over the best structure of this formula in the dataset (eV per atom): 0.116

***

Compound: YPtPb2
Source: the Alexandria database
Functional: PBE
Structure: relaxed

Unit cell a=6.358 b=6.358 c=4.270 alpha=70.96 beta=70.96 gamma=122.89
Fractional positions:
Pb (0.000, 0.000, 0.000)
Pb (0.500, 0.500, 0.000)
Pt (0.500, 0.000, 0.500)
Y (0.000, 0.500, 0.500)

Values from the calculation:
Symmetry: C2/m
Density (Mg/m³): 10.9
Excess energy over the best structure of this formula in the dataset (eV per atom): 0.210

***

Compound: YPtPb2
Source: the Alexandria database
Functional: PBE
Structure: relaxed

Unit cell a=4.405 b=4.405 c=11.396 alpha=78.86 beta=78.86 gamma=90.00
Fractional positions:
Pb (0.640, 0.125, 0.250)
Pb (0.110, 0.625, 0.250)
Pb (0.375, 0.360, 0.750)
Pb (0.875, 0.890, 0.750)
Y (0.500, 0.500, 0.000)
Y (0.250, 0.750, 0.500)
Pt (0.000, 0.000, 0.000)
Pt (0.750, 0.250, 0.500)

Values from the calculation:
Symmetry: I-42d
Density (Mg/m³): 10.9
Excess energy over the best structure of this formula in the dataset (eV per atom): 0.238

***

Compound: Y3Pt8Pb
Source: the Alexandria database
Functional: PBE
Structure: relaxed

Unit cell a=5.467 b=5.467 c=8.900 alpha=90.00 beta=90.00 gamma=120.00
Fractional positions:
Y (0.667, 0.333, 0.451)
Y (0.667, 0.333, 0.070)
Y (0.000, 0.000, 0.912)
Pt (0.333, 0.667, 0.503)
Pt (0.333, 0.667, 0.005)
Pt (0.502, 0.004, 0.758)
Pt (0.502, 0.498, 0.758)
Pt (0.996, 0.498, 0.758)
Pt (0.165, 0.329, 0.247)
Pt (0.165, 0.835, 0.247)
Pt (0.671, 0.835, 0.247)
Pb (0.000, 0.000, 0.544)

Values from the calculation:
Symmetry: P3m1
Density (Mg/m³): 14.7
Total energy (eV per atom): -6.8223

***

Compound: YPtPb2
Source: the Alexandria database
Functional: PBE
Structure: relaxed

Unit cell a=5.202 b=5.202 c=5.202 alpha=60.00 beta=60.00 gamma=60.00
Fractional positions:
Pb (0.000, 0.000, 0.000)
Pb (0.250, 0.250, 0.250)
Pt (0.500, 0.500, 0.500)
Y (0.750, 0.750, 0.750)

Values from the calculation:
Symmetry: F-43m
Density (Mg/m³): 11.6
Excess energy over the best structure of this formula in the dataset (eV per atom): 0.196

***

Compound: YPtPb2
Source: the Alexandria database
Functional: PBE
Structure: relaxed

Unit cell a=6.866 b=6.866 c=6.866 alpha=148.31 beta=140.62 gamma=51.40
Fractional positions:
Pb (0.943, 0.943, 0.000)
Pb (0.557, 0.557, 0.000)
Pt (0.750, 0.250, 0.500)
Y (0.250, 0.750, 0.500)

Values from the calculation:
Symmetry: Immm
Density (Mg/m³): 10.8
Excess energy over the best structure of this formula in the dataset (eV per atom): 0.101

***

Compound: YPtPb2
Source: the Alexandria database
Functional: PBE
Structure: relaxed

Unit cell a=5.909 b=5.909 c=5.909 alpha=46.55 beta=46.55 gamma=46.55
Fractional positions:
Pb (0.982, 0.982, 0.982)
Pb (0.518, 0.518, 0.518)
Pt (0.250, 0.250, 0.250)
Y (0.750, 0.750, 0.750)

Values from the calculation:
Symmetry: R-3m
Density (Mg/m³): 11.7
Excess energy over the best structure of this formula in the dataset (eV per atom): 0.156